# 1
LaAgB2: optimized geometry, PBE.

Total magnetization: 0.0 μB per formula unit
Formation energy from the elements: 0.71 eV per atom
E: -18.3 eV per formula unit
ΔE to the lowest computed polymorph: 255.3 meV per atom

Unit cell a=6.3786 b=6.3786 c=6.3786 alpha=90.00 beta=90.00 gamma=90.00
Last column: nearest neighbours and their distance in Å.
Positions (direct):
La 0.0000 0.0000 0.0000  8 B 2.76
La 0.0000 0.5000 0.5000  8 B 2.76
La 0.5000 0.0000 0.5000  8 B 2.76
La 0.5000 0.5000 0.0000  8 B 2.76
Ag 0.0000 0.0000 0.5000  8 B 2.76
Ag 0.0000 0.5000 0.0000  8 B 2.76
Ag 0.5000 0.0000 0.0000  8 B 2.76
Ag 0.5000 0.5000 0.5000  8 B 2.76
B 0.2500 0.2500 0.2500  4 La 2.76, 4 Ag 2.76
B 0.2500 0.2500 0.7500  4 La 2.76, 4 Ag 2.76
B 0.2500 0.7500 0.2500  4 La 2.76, 4 Ag 2.76
B 0.2500 0.7500 0.7500  4 La 2.76, 4 Ag 2.76
B 0.7500 0.2500 0.2500  4 La 2.76, 4 Ag 2.76
B 0.7500 0.2500 0.7500  4 La 2.76, 4 Ag 2.76
B 0.7500 0.7500 0.2500  4 La 2.76, 4 Ag 2.76
B 0.7500 0.7500 0.7500  4 La 2.76, 4 Ag 2.76

---

# 2
LaAg2B2O6: optimized geometry, PBE.

Formation energy without anion corrections: -1.87 eV/atom
Total magnetization: 1.1 μB per formula unit
E: -74.4 eV per formula unit

Unit cell a=5.4603 b=5.4603 c=6.2861 alpha=90.00 beta=90.00 gamma=120.00
Last column: nearest neighbours and their distance in Å.
Positions (direct):
La 0.0000 0.0000 0.0000  6 O 2.43
Ag 0.3333 0.6667 0.3017  3 O 2.26
Ag 0.6667 0.3333 0.6983  3 O 2.26
B 0.3333 0.6667 0.7687  3 O 1.38
B 0.6667 0.3333 0.2313  3 O 1.38
O 0.0995 0.3977 0.7707  1 B 1.38
O 0.2982 0.9005 0.7707  1 B 1.38
O 0.3977 0.2982 0.2293  1 B 1.38
O 0.6023 0.7018 0.7707  1 B 1.38
O 0.7018 0.0995 0.2293  1 B 1.38
O 0.9005 0.6023 0.2293  1 B 1.38

---

# 3
La3AgB2O8: optimized geometry, PBE.

Formation energy without anion corrections: -2.68 eV/atom
Total magnetization: 0.0 μB per formula unit
E: -108.1 eV per formula unit

Unit cell a=5.2315 b=5.2315 c=7.5018 alpha=90.00 beta=90.00 gamma=120.00
Last column: nearest neighbours and their distance in Å.
Positions (direct):
La 0.0000 0.0000 0.0000  6 O 2.53
La 0.3333 0.6667 0.7053  1 O 2.17
La 0.6667 0.3333 0.2947  1 O 2.17
Ag 0.0000 0.0000 0.5000  6 O 2.42
B 0.3333 0.6667 0.1955  4 O 1.48-1.51
B 0.6667 0.3333 0.8045  4 O 1.48-1.51
O 0.1788 0.3577 0.2597  1 B 1.48
O 0.1788 0.8212 0.2597  1 B 1.48
O 0.3333 0.6667 0.9942  1 B 1.51
O 0.3577 0.1788 0.7403  1 B 1.48
O 0.6423 0.8212 0.2597  1 B 1.48
O 0.6667 0.3333 0.0058  1 B 1.51
O 0.8212 0.1788 0.7403  1 B 1.48
O 0.8212 0.6423 0.7403  1 B 1.48

---

# 4
LaAg2BP: optimized geometry, PBE.

Total magnetization: 0.0 μB per formula unit
Formation energy from the elements: 0.46 eV per atom
E: -20.4 eV per formula unit

Unit cell a=4.9880 b=4.9880 c=4.1196 alpha=90.00 beta=90.00 gamma=90.00
Last column: nearest neighbours and their distance in Å.
Positions (direct):
La 0.0000 0.0000 0.0000  8 Ag 3.23, 4 B 3.53
Ag 0.0000 0.5000 0.5000  2 P 2.49
Ag 0.5000 0.0000 0.5000  2 P 2.49
B 0.5000 0.5000 0.0000  2 P 2.06
P 0.5000 0.5000 0.5000  2 B 2.06